# ScCd2Os

An optimized crystal structure of ScCd2Os (GGA-PBE, Alexandria via LeMat-Bulk).

Cell: 10.021 3.373 4.868 Å, 90.00 112.47 90.00°
Space group Cm (No. 8)
Asymmetric unit:
Sc  0.000  0.000  0.000 x2
Cd  0.034  0.500  0.530 x2
Cd  0.277  0.500  0.319 x2
Os  0.279  0.000  0.828 x2

Results
formation energy from the elements: 0.11 eV per atom
offset from the most stable computed form: 13.1 kJ per mole of atoms

# RbNaICl

An optimized crystal structure of RbNaICl (GGA-PBE, Alexandria via LeMat-Bulk).

Cell: 5.6077 5.6077 35.7696 Å, 90.00 90.00 120.00°
Space group R-3m (No. 166, hexagonal axes)
Asymmetric unit:
Rb  0.0000  0.0000  0.1193 x6
Na  0.0000  0.0000  0.2890 x6
I  0.0000  0.0000  0.3784 x6
Cl  0.0000  0.0000  0.2117 x6

Results
formation energy from raw total energies: -1.5715 eV per atom

| no. | magnetic moment (μB/cell) |
| --- | --- |
| 1 | 0.0 |
| 2 | 0.0 |